Record 1
# FeHgRu2

FeHgRu2 after structural relaxation (GGA-PBE, Alexandria).

Properties
final energy	-25.32	eV per cell
energy of formation	499	meV per atom
calculated density	12.62	g/cm³
D(E_F)	1.46	states/eV/atom

a b c (Å): 4.8318 4.8318 4.8318
angles (deg): 132.40 132.40 69.60
Closest atoms and distances in Å follow each position.
Atoms (fractional coordinates):
Hg (0.7500, 0.2500, 0.5000)  8 Ru 2.76-2.78, 4 Fe 2.78
Ru (0.0000, 0.0000, 0.0000)  4 Fe 2.76, 4 Hg 2.78, 4 Ru 2.78
Ru (0.2500, 0.7500, 0.5000)  4 Hg 2.76, 4 Ru 2.78, 4 Fe 2.78
Fe (0.5000, 0.5000, 0.0000)  8 Ru 2.76-2.78, 4 Hg 2.78

***

Record 2
# Pm3Si2

Pm3Si2 after structural relaxation (GGA-PBE, Alexandria).

Properties
final energy	-113.39	eV per cell
raw formation energy	-0.650	eV per atom
calculated density	6.34	g/cm³
D(E_F)	1.03	states/eV/atom

a b c (Å): 8.6348 7.7189 7.7189
angles (deg): 90.00 90.00 90.00
Closest atoms and distances in Å follow each position.
Atoms (fractional coordinates):
Si (0.2499, 0.1120, 0.1120)  1 Si 2.45
Si (0.7501, 0.8880, 0.8880)  1 Si 2.45
Si (0.2499, 0.8880, 0.8880)  1 Si 2.45
Si (0.2501, 0.6120, 0.3880)  1 Si 2.45
Si (0.7499, 0.3880, 0.6120)  1 Si 2.45
Si (0.2501, 0.3880, 0.6120)  1 Si 2.45
Si (0.7501, 0.1120, 0.1120)  1 Si 2.45
Si (0.7499, 0.6120, 0.3880)  1 Si 2.45
Pm (0.0000, 0.3236, 0.3236)  6 Si 3.14-3.16
Pm (0.0000, 0.1765, 0.8235)  6 Si 3.14-3.16
Pm (0.5000, 0.8236, 0.1764)  6 Si 3.14-3.16
Pm (0.5000, 0.1764, 0.8236)  6 Si 3.14-3.16
Pm (0.5000, 0.3235, 0.3235)  6 Si 3.14-3.16
Pm (0.2500, 0.5000, 0.0000)  4 Si 3.12
Pm (0.5000, 0.6765, 0.6765)  6 Si 3.14-3.16
Pm (0.0000, 0.6764, 0.6764)  6 Si 3.14-3.16
Pm (0.2500, 0.0000, 0.5000)  4 Si 3.12
Pm (0.7500, 0.0000, 0.5000)  4 Si 3.12
Pm (0.0000, 0.8235, 0.1765)  6 Si 3.14-3.16
Pm (0.7500, 0.5000, 0.0000)  4 Si 3.12

***

Record 3
# K2CaReO6

K2CaReO6 after structural relaxation (GGA-PBE, Alexandria).

Properties
final energy	-63.91	eV per cell
raw formation energy	-1.752	eV per atom
calculated density	3.25	g/cm³
D(E_F)	0.21	states/eV/atom

a b c (Å): 5.9451 6.3057 6.3057
angles (deg): 120.00 90.00 90.00
Closest atoms and distances in Å follow each position.
Atoms (fractional coordinates):
O (0.1921, 0.8610, 0.1390)  1 Re 1.90
O (0.8079, 0.1390, 0.2779)  1 Re 1.90
O (0.1921, 0.8610, 0.7221)  1 Re 1.90
O (0.8079, 0.7221, 0.8610)  1 Re 1.90
O (0.8079, 0.1390, 0.8610)  1 Re 1.90
O (0.1921, 0.2779, 0.1390)  1 Re 1.90
K (0.9025, 0.6667, 0.3333)  3 O 2.73
K (0.0975, 0.3333, 0.6667)  3 O 2.73
Ca (0.5000, 0.0000, 0.0000)  6 O 2.38
Re (0.0000, 0.0000, 0.0000)  6 O 1.90